(1)
The following is a DFT calculation (PBE-GGA) of TiAl2Cd2 after structural relaxation.

## Properties
**Energy relative to the elements**: 192 meV/atom
**Offset from the most stable computed form**: 0.000 eV per atom

a = 7.6813 Å, b = 7.6813 Å, c = 3.2373 Å
α = 90.00°, β = 90.00°, γ = 90.00°
Sites, in units of the cell vectors:
Al: 0.6286 0.1286 0.0000
Al: 0.1286 0.3714 0.0000
Al: 0.3714 0.8714 0.0000
Al: 0.8714 0.6286 0.0000
Cd: 0.3282 0.1718 0.5000
Cd: 0.6718 0.8282 0.5000
Cd: 0.8282 0.3282 0.5000
Cd: 0.1718 0.6718 0.5000
Ti: 0.5000 0.5000 0.0000
Ti: 0.0000 0.0000 0.0000



(2)
The following is a DFT calculation (PBE-GGA) of Ti2AlCd after structural relaxation.

## Properties
**Energy relative to the elements**: -23 meV/atom

a = 2.9498 Å, b = 2.9498 Å, c = 9.9909 Å
α = 79.45°, β = 79.45°, γ = 57.20°
Sites, in units of the cell vectors:
Ti: 0.0700 0.0700 0.7632
Ti: 0.2722 0.2722 0.2371
Al: 0.6719 0.6719 0.9996
Cd: 0.4859 0.4859 0.5001



(3)
The following is a DFT calculation (PBE-GGA) of Ti2AlCd after structural relaxation.

## Properties
**Energy relative to the elements**: -216 meV/atom

a = 2.8423 Å, b = 2.8423 Å, c = 8.6213 Å
α = 90.00°, β = 90.00°, γ = 90.00°
Sites, in units of the cell vectors:
Ti: 0.0000 0.0000 0.2254
Ti: 0.0000 0.0000 0.7746
Cd: 0.5000 0.5000 0.5000
Al: 0.5000 0.5000 0.0000



(4)
The following is a DFT calculation (PBE-GGA) of TiAl2Cd after structural relaxation.

## Properties
**Energy relative to the elements**: -221 meV/atom

a = 3.9894 Å, b = 4.1387 Å, c = 4.1387 Å
α = 90.00°, β = 90.00°, γ = 90.00°
Sites, in units of the cell vectors:
Al: 0.0000 0.5000 0.0000
Al: 0.0000 0.0000 0.5000
Ti: 0.5000 0.0000 0.0000
Cd: 0.5000 0.5000 0.5000



(5)
The following is a DFT calculation (PBE-GGA) of Ti2AlCd after structural relaxation.

## Properties
**Energy relative to the elements**: 293 meV/atom

a = 7.4831 Å, b = 7.4831 Å, c = 5.9391 Å
α = 50.95°, β = 50.95°, γ = 90.00°
Sites, in units of the cell vectors:
Ti: 0.6186 0.1250 0.2500
Ti: 0.8750 0.8686 0.7500
Ti: 0.1314 0.6250 0.2500
Ti: 0.3750 0.3814 0.7500
Al: 0.2500 0.7500 0.5000
Al: 0.5000 0.5000 0.0000
Cd: 0.7500 0.2500 0.5000
Cd: 0.0000 0.0000 0.0000



(6)
The following is a DFT calculation (PBE-GGA) of Ti2AlCd after structural relaxation.

## Properties
**Energy relative to the elements**: 163 meV/atom

a = 2.8589 Å, b = 2.8589 Å, c = 10.6838 Å
α = 82.31°, β = 82.31°, γ = 60.00°
Sites, in units of the cell vectors:
Ti: 0.0929 0.0929 0.7214
Ti: 0.9071 0.9071 0.2786
Al: 0.5000 0.5000 0.5000
Cd: 0.0000 0.0000 0.0000



(7)
The following is a DFT calculation (PBE-GGA) of Ti3AlCd after structural relaxation.

## Properties
**Energy relative to the elements**: 644 meV/atom
**Offset from the most stable computed form**: 0.000 eV per atom

a = 4.7386 Å, b = 4.7386 Å, c = 4.7386 Å
α = 90.00°, β = 90.00°, γ = 90.00°
Sites, in units of the cell vectors:
Ti: 0.5000 0.0000 0.0000
Ti: 0.0000 0.5000 0.0000
Ti: 0.0000 0.0000 0.5000
Al: 0.0000 0.0000 0.0000
Cd: 0.5000 0.5000 0.5000



(8)
The following is a DFT calculation (PBE-GGA) of TiAl2Cd2 after structural relaxation.

## Properties
**Energy relative to the elements**: 306 meV/atom
**Offset from the most stable computed form**: 0.114 eV per atom

a = 3.9835 Å, b = 3.9835 Å, c = 6.9611 Å
α = 73.37°, β = 73.37°, γ = 90.00°
Sites, in units of the cell vectors:
Cd: 0.6042 0.6042 0.7916
Cd: 0.3958 0.3958 0.2084
Ti: 0.0000 0.0000 0.0000
Al: 0.2500 0.7500 0.5000
Al: 0.7500 0.2500 0.5000



(9)
The following is a DFT calculation (PBE-GGA) of TiAlCd3 after structural relaxation.

## Properties
**Energy relative to the elements**: 804 meV/atom
**Offset from the most stable computed form**: 0.000 eV per atom

a = 4.9934 Å, b = 4.9934 Å, c = 4.9934 Å
α = 90.00°, β = 90.00°, γ = 90.00°
Sites, in units of the cell vectors:
Ti: 0.5000 0.5000 0.5000
Al: 0.0000 0.0000 0.0000
Cd: 0.0000 0.5000 0.0000
Cd: 0.0000 0.0000 0.5000
Cd: 0.5000 0.0000 0.0000



(10)
The following is a DFT calculation (PBE-GGA) of Ti6AlCd after structural relaxation.

## Properties
**Energy relative to the elements**: -115 meV/atom

a = 4.0962 Å, b = 4.0962 Å, c = 8.1864 Å
α = 90.00°, β = 90.00°, γ = 90.00°
Sites, in units of the cell vectors:
Ti: 0.5000 0.5000 0.0000
Ti: 0.0000 0.5000 0.2589
Ti: 0.5000 0.5000 0.5000
Ti: 0.5000 0.0000 0.7411
Ti: 0.5000 0.0000 0.2589
Ti: 0.0000 0.5000 0.7411
Al: 0.0000 0.0000 0.5000
Cd: 0.0000 0.0000 0.0000



(11)
The following is a DFT calculation (PBE-GGA) of Ti3AlCd after structural relaxation.

## Properties
**Energy relative to the elements**: 1142 meV/atom
**Offset from the most stable computed form**: 0.498 eV per atom

a = 4.9121 Å, b = 4.9121 Å, c = 4.9121 Å
α = 90.00°, β = 90.00°, γ = 90.00°
Sites, in units of the cell vectors:
Ti: 0.5000 0.0000 0.0000
Ti: 0.0000 0.5000 0.0000
Ti: 0.0000 0.0000 0.5000
Cd: 0.0000 0.0000 0.0000
Al: 0.5000 0.5000 0.5000



(12)
The following is a DFT calculation (PBE-GGA) of TiAlCd2 after structural relaxation.

## Properties
**Energy relative to the elements**: 307 meV/atom

a = 7.6707 Å, b = 7.6707 Å, c = 6.1197 Å
α = 51.19°, β = 51.19°, γ = 90.00°
Sites, in units of the cell vectors:
Cd: 0.3750 0.3931 0.7500
Cd: 0.1431 0.6250 0.2500
Cd: 0.6069 0.1250 0.2500
Cd: 0.8750 0.8569 0.7500
Al: 0.5000 0.5000 0.0000
Al: 0.2500 0.7500 0.5000
Ti: 0.7500 0.2500 0.5000
Ti: 0.0000 0.0000 0.0000



(13)
The following is a DFT calculation (PBE-GGA) of Ti2AlCd after structural relaxation.

## Properties
**Energy relative to the elements**: -147 meV/atom

a = 4.2652 Å, b = 4.0410 Å, c = 4.0410 Å
α = 90.00°, β = 90.00°, γ = 90.00°
Sites, in units of the cell vectors:
Ti: 0.0000 0.5000 0.0000
Ti: 0.0000 0.0000 0.5000
Cd: 0.5000 0.0000 0.0000
Al: 0.5000 0.5000 0.5000



(14)
The following is a DFT calculation (PBE-GGA) of Ti2AlCd2 after structural relaxation.

## Properties
**Energy relative to the elements**: 208 meV/atom

a = 7.5291 Å, b = 7.5291 Å, c = 3.3777 Å
α = 90.00°, β = 90.00°, γ = 90.00°
Sites, in units of the cell vectors:
Ti: 0.1719 0.6719 0.5000
Ti: 0.6719 0.8281 0.5000
Ti: 0.8281 0.3281 0.5000
Ti: 0.3281 0.1719 0.5000
Al: 0.0000 0.0000 0.0000
Al: 0.5000 0.5000 0.0000
Cd: 0.1297 0.3703 0.0000
Cd: 0.6297 0.1297 0.0000
Cd: 0.3703 0.8703 0.0000
Cd: 0.8703 0.6297 0.0000



(15)
The following is a DFT calculation (PBE-GGA) of Ti5Al4Cd after structural relaxation.

## Properties
**Energy relative to the elements**: -327 meV/atom

a = 2.8277 Å, b = 2.8277 Å, c = 20.8640 Å
α = 90.00°, β = 90.00°, γ = 90.00°
Sites, in units of the cell vectors:
Ti: 0.5000 0.5000 0.6958
Ti: 0.5000 0.5000 0.1146
Ti: 0.5000 0.5000 0.3042
Ti: 0.5000 0.5000 0.5000
Ti: 0.5000 0.5000 0.8854
Al: 0.0000 0.0000 0.2074
Al: 0.0000 0.0000 0.5980
Al: 0.0000 0.0000 0.4020
Al: 0.0000 0.0000 0.7926
Cd: 0.0000 0.0000 0.0000



(16)
The following is a DFT calculation (PBE-GGA) of TiAl3Cd after structural relaxation.

## Properties
**Energy relative to the elements**: 764 meV/atom
**Offset from the most stable computed form**: 0.000 eV per atom

a = 5.0182 Å, b = 5.0182 Å, c = 5.0182 Å
α = 90.00°, β = 90.00°, γ = 90.00°
Sites, in units of the cell vectors:
Ti: 0.0000 0.0000 0.0000
Al: 0.0000 0.0000 0.5000
Al: 0.5000 0.0000 0.0000
Al: 0.0000 0.5000 0.0000
Cd: 0.5000 0.5000 0.5000



(17)
The following is a DFT calculation (PBE-GGA) of TiAlCd3 after structural relaxation.

## Properties
**Energy relative to the elements**: 902 meV/atom
**Offset from the most stable computed form**: 0.097 eV per atom

a = 5.4043 Å, b = 5.4043 Å, c = 5.4043 Å
α = 90.00°, β = 90.00°, γ = 90.00°
Sites, in units of the cell vectors:
Ti: 0.0000 0.0000 0.0000
Cd: 0.0000 0.0000 0.5000
Cd: 0.0000 0.5000 0.0000
Cd: 0.5000 0.0000 0.0000
Al: 0.5000 0.5000 0.5000



(18)
The following is a DFT calculation (PBE-GGA) of TiAl2Cd after structural relaxation.

## Properties
**Energy relative to the elements**: 260 meV/atom

a = 7.3523 Å, b = 7.3523 Å, c = 5.9305 Å
α = 51.69°, β = 51.69°, γ = 90.00°
Sites, in units of the cell vectors:
Al: 0.1171 0.6250 0.2500
Al: 0.6329 0.1250 0.2500
Al: 0.3750 0.3671 0.7500
Al: 0.8750 0.8829 0.7500
Cd: 0.7500 0.2500 0.5000
Cd: 0.0000 0.0000 0.0000
Ti: 0.5000 0.5000 0.0000
Ti: 0.2500 0.7500 0.5000



(19)
The following is a DFT calculation (PBE-GGA) of TiAlCd after structural relaxation.

## Properties
**Energy relative to the elements**: -84 meV/atom
**Offset from the most stable computed form**: 0.073 eV per atom

a = 3.0189 Å, b = 4.5378 Å, c = 4.5378 Å
α = 120.00°, β = 90.00°, γ = 90.00°
Sites, in units of the cell vectors:
Cd: 0.1670 0.0000 0.0000
Al: 0.1664 0.3333 0.6667
Ti: 0.6666 0.6667 0.3333



(20)
The following is a DFT calculation (PBE-GGA) of TiAlCd2 after structural relaxation.

## Properties
**Energy relative to the elements**: -87 meV/atom

a = 4.3363 Å, b = 4.1403 Å, c = 4.1403 Å
α = 90.00°, β = 90.00°, γ = 90.00°
Sites, in units of the cell vectors:
Cd: 0.0000 0.5000 0.0000
Cd: 0.0000 0.0000 0.5000
Ti: 0.5000 0.5000 0.5000
Al: 0.5000 0.0000 0.0000



(21)
The following is a DFT calculation (PBE-GGA) of TiAl2Cd2 after structural relaxation.

## Properties
**Energy relative to the elements**: 232 meV/atom
**Offset from the most stable computed form**: 0.040 eV per atom

a = 7.8980 Å, b = 7.8980 Å, c = 3.0872 Å
α = 90.00°, β = 90.00°, γ = 90.00°
Sites, in units of the cell vectors:
Cd: 0.6285 0.1285 0.0000
Cd: 0.1285 0.3715 0.0000
Cd: 0.8715 0.6285 0.0000
Cd: 0.3715 0.8715 0.0000
Al: 0.3248 0.1752 0.5000
Al: 0.6752 0.8248 0.5000
Al: 0.8248 0.3248 0.5000
Al: 0.1752 0.6752 0.5000
Ti: 0.5000 0.5000 0.0000
Ti: 0.0000 0.0000 0.0000



(22)
The following is a DFT calculation (PBE-GGA) of AlTlCd3 after structural relaxation.

## Properties
**Energy relative to the elements**: 641 meV/atom
**Offset from the most stable computed form**: 0.382 eV per atom

a = 5.5671 Å, b = 5.5671 Å, c = 5.5671 Å
α = 90.00°, β = 90.00°, γ = 90.00°
Sites, in units of the cell vectors:
Tl: 0.0000 0.0000 0.0000
Cd: 0.0000 0.0000 0.5000
Cd: 0.5000 0.0000 0.0000
Cd: 0.0000 0.5000 0.0000
Al: 0.5000 0.5000 0.5000



(23)
The following is a DFT calculation (PBE-GGA) of Al2TlCd after structural relaxation.

## Properties
**Energy relative to the elements**: 213 meV/atom

a = 4.9145 Å, b = 4.9145 Å, c = 5.9727 Å
α = 80.26°, β = 80.26°, γ = 39.63°
Sites, in units of the cell vectors:
Al: 0.9900 0.9900 0.0467
Al: 0.2537 0.2537 0.2273
Cd: 0.5097 0.5097 0.4642
Tl: 0.7465 0.7465 0.7618



(24)
The following is a DFT calculation (PBE-GGA) of Al2TlCd after structural relaxation.

## Properties
**Energy relative to the elements**: 245 meV/atom

a = 10.7385 Å, b = 10.7385 Å, c = 10.7385 Å
α = 16.69°, β = 16.69°, γ = 16.69°
Sites, in units of the cell vectors:
Al: 0.5052 0.5052 0.5052
Al: 0.9948 0.9948 0.9948
Cd: 0.2500 0.2500 0.2500
Tl: 0.7500 0.7500 0.7500



(25)
The following is a DFT calculation (PBE-GGA) of AlTlCd2 after structural relaxation.

## Properties
**Energy relative to the elements**: 172 meV/atom
**Offset from the most stable computed form**: 0.059 eV per atom

a = 4.6661 Å, b = 4.5219 Å, c = 4.5219 Å
α = 90.00°, β = 90.00°, γ = 90.00°
Sites, in units of the cell vectors:
Cd: 0.0000 0.5000 0.5000
Cd: 0.0000 0.0000 0.0000
Tl: 0.5000 0.5000 0.0000
Al: 0.5000 0.0000 0.5000



(26)
The following is a DFT calculation (PBE-GGA) of Al2TlCd after structural relaxation.

## Properties
**Energy relative to the elements**: 265 meV/atom

a = 6.2854 Å, b = 6.2854 Å, c = 6.2854 Å
α = 152.03°, β = 128.40°, γ = 59.72°
Sites, in units of the cell vectors:
Cd: 0.7500 0.2500 0.5000
Al: 0.9887 0.9887 0.0000
Al: 0.5113 0.5113 0.0000
Tl: 0.2500 0.7500 0.5000



(27)
The following is a DFT calculation (PBE-GGA) of Al2TlCd after structural relaxation.

## Properties
**Energy relative to the elements**: 260 meV/atom

a = 3.1138 Å, b = 3.1138 Å, c = 10.6497 Å
α = 90.00°, β = 90.00°, γ = 119.13°
Sites, in units of the cell vectors:
Cd: 0.5000 0.5000 0.2500
Al: 0.0000 0.0000 0.0136
Al: 0.0000 0.0000 0.4864
Tl: 0.5000 0.5000 0.7500



(28)
The following is a DFT calculation (PBE-GGA) of Al2Tl2Cd after structural relaxation.

## Properties
**Energy relative to the elements**: 200 meV/atom
**Offset from the most stable computed form**: 0.000 eV per atom

a = 7.1323 Å, b = 7.1323 Å, c = 4.9087 Å
α = 90.00°, β = 90.00°, γ = 90.00°
Sites, in units of the cell vectors:
Cd: 0.0000 0.0000 0.0000
Cd: 0.5000 0.5000 0.0000
Tl: 0.3252 0.1748 0.5000
Tl: 0.1748 0.6748 0.5000
Tl: 0.6748 0.8252 0.5000
Tl: 0.8252 0.3252 0.5000
Al: 0.6325 0.1325 0.0000
Al: 0.8675 0.6325 0.0000
Al: 0.3675 0.8675 0.0000
Al: 0.1325 0.3675 0.0000